1.
The following is a PBE calculation of a geometry-optimized CeTm3Sn structure, from Alexandria via LeMat-Bulk.

Summary:
total moment: 1.116 μB per formula unit
ρ: 8.27 g/cm³
ΔE_f: -2.6 kcal/mol of atoms
total energy: -0.35156 Ry per atom

abc: 6.693 15.919 5.768
angles: 90.00 90.00 90.00
Space group Cmcm (No. 63)
Asymmetric unit:
1 Ce 0.000 0.043 0.250
2 Tm 0.000 0.500 0.000
3 Tm 0.249 0.163 0.750
4 Sn 0.000 0.328 0.750

2.
The following is a PBE calculation of a geometry-optimized CeTm3Sn3 structure, from Alexandria via LeMat-Bulk.

Summary:
total moment: 0.556 μB per formula unit
ρ: 8.65 g/cm³
ΔE_f: -11.6 kcal/mol of atoms
total energy: -0.36626 Ry per atom

abc: 9.0979 9.0979 5.3753
angles: 90.00 90.00 120.00
Space group P6_3/m (No. 176)
Asymmetric unit:
1 Ce 0.3333 0.6667 0.2500
2 Tm 0.0069 0.7686 0.2500
3 Sn 0.0731 0.6269 0.7500

3.
The following is a PBE calculation of a geometry-optimized Ce5TmSn5 structure, from Alexandria via LeMat-Bulk.

Summary:
total moment: 3.553 μB per formula unit
ρ: 6.55 g/cm³
ΔE_f: -7.5 kcal/mol of atoms
total energy: -0.38561 Ry per atom

abc: 14.255 6.300 8.681
angles: 90.00 107.89 90.00
Space group C2/m (No. 12)
Asymmetric unit:
1 Ce 0.000 0.000 0.000
2 Ce 0.164 0.500 0.329
3 Ce 0.167 0.500 0.834
4 Tm 0.000 0.000 0.500
5 Sn 0.000 0.500 0.500
6 Sn 0.165 0.000 0.832
7 Sn 0.166 0.000 0.334

4.
The following is a PBE calculation of a geometry-optimized CeTm7Sn4 structure, from Alexandria via LeMat-Bulk.

Summary:
total moment: 1.218 μB per formula unit
ρ: 8.61 g/cm³
ΔE_f: -4.3 kcal/mol of atoms
total energy: -0.33995 Ry per atom

abc: 14.147 5.477 11.045
angles: 90.00 125.93 90.00
Space group C2/m (No. 12)
Asymmetric unit:
1 Ce 0.000 0.000 0.000
2 Tm 0.000 0.500 0.000
3 Tm 0.077 0.000 0.355
4 Tm 0.157 0.500 0.589
5 Tm 0.212 0.000 0.876
6 Sn 0.072 0.500 0.780
7 Sn 0.202 0.500 0.327

5.
The following is a PBE calculation of a geometry-optimized Ce5TmSn6 structure, from Alexandria via LeMat-Bulk.

Summary:
total moment: 4.816 μB per formula unit
ρ: 8.04 g/cm³
ΔE_f: -13.6 kcal/mol of atoms
total energy: -0.39944 Ry per atom

abc: 4.927 8.970 7.777
angles: 90.00 108.06 90.00
Space group P2/m (No. 10)
Asymmetric unit:
1 Ce 0.000 0.000 0.000
2 Ce 0.334 0.000 0.666
3 Ce 0.335 0.500 0.668
4 Tm 0.000 0.500 0.000
5 Sn 0.164 0.252 0.329
6 Sn 0.500 0.254 0.000

6.
The following is a PBE calculation of a geometry-optimized CeTm4Sn2 structure, from Alexandria via LeMat-Bulk.

Summary:
total moment: 0.866 μB per formula unit
ρ: 8.68 g/cm³
ΔE_f: -7.5 kcal/mol of atoms
total energy: -0.35799 Ry per atom

abc: 7.931 6.510 8.640
angles: 90.00 115.36 90.00
Space group P2_1/m (No. 11)
Asymmetric unit:
1 Ce 0.106 0.250 0.362
2 Tm 0.177 0.750 0.072
3 Tm 0.336 0.003 0.780
4 Tm 0.460 0.750 0.493
5 Sn 0.050 0.750 0.368
6 Sn 0.277 0.250 0.087